## w
Computed, not measured: a PBEsol-optimized structure of LaMgTa at the SCAN level of DFT.

abc: 7.9135 7.9135 7.9135
angles: 158.02 158.02 31.29
Fractional positions:
La: 0.0000 0.0000 0.0000
Mg: 0.6936 0.6936 0.0000
Ta: 0.3362 0.3362 0.0000

- total magnetic moment (μB/cell) = 0.0
- space-group type = I4mm

---

## x
Computed, not measured: a PBEsol-optimized structure of LaMgTa at the SCAN level of DFT.

abc: 4.9204 4.9204 4.9204
angles: 60.00 60.00 60.00
Fractional positions:
La: 0.0000 0.0000 0.0000
Mg: 0.7500 0.7500 0.7500
Ta: 0.2500 0.2500 0.2500

- total magnetic moment (μB/cell) = 2.1
- space-group type = F-43m

---

Stability check: which of them is most stable? w.